Crystalline Pm2Er2Pt3 at its relaxed geometry, computed with PBE.

abc: 7.6282 7.6282 7.6282
angles: 109.47 109.47 109.47
Closest atoms and distances in Å follow each position.
Sites, in units of the cell vectors:
Pm 0.0000 0.3724 0.5000  3 Pt 2.86
Pm 0.1276 0.1276 0.1276  3 Pt 2.86
Pm 0.3724 0.5000 0.0000  3 Pt 2.86
Pm 0.5000 0.0000 0.3724  3 Pt 2.86
Er 0.0000 0.8762 0.5000  6 Pt 2.88-3.18
Er 0.5000 0.0000 0.8762  6 Pt 2.88-3.18
Er 0.6238 0.6238 0.6238  6 Pt 2.88-3.18
Er 0.8762 0.5000 0.0000  6 Pt 2.88-3.18
Pt 0.1145 0.7500 0.8645  2 Pm 2.86, 4 Er 2.88-3.18
Pt 0.2500 0.6355 0.3855  2 Pm 2.86, 4 Er 2.88-3.18
Pt 0.3855 0.2500 0.6355  2 Pm 2.86, 4 Er 2.88-3.18
Pt 0.6355 0.3855 0.2500  2 Pm 2.86, 4 Er 2.88-3.18
Pt 0.7500 0.8645 0.1145  2 Pm 2.86, 4 Er 2.88-3.18
Pt 0.8645 0.1145 0.7500  2 Pm 2.86, 4 Er 2.88-3.18

Properties
Uncorrected energy   -6.31 eV per atom
SG   No. 199
Energy above the lowest structure with this stoichiometry   0 meV/atom

Crystalline PmEr2Pt at its relaxed geometry, computed with PBE.

abc: 7.1148 9.5438 6.5190
angles: 90.00 90.00 90.00
Closest atoms and distances in Å follow each position.
Sites, in units of the cell vectors:
Pm 0.0215 0.2500 0.1316  2 Pt 2.90-3.00
Pm 0.4785 0.7500 0.6316  2 Pt 2.90-3.00
Pm 0.5215 0.2500 0.3684  2 Pt 2.90-3.00
Pm 0.9785 0.7500 0.8684  2 Pt 2.90-3.00
Er 0.1773 0.0621 0.6742  2 Pt 2.83-2.87
Er 0.1773 0.4379 0.6742  2 Pt 2.83-2.87
Er 0.3227 0.5621 0.1742  2 Pt 2.83-2.87
Er 0.3227 0.9379 0.1742  2 Pt 2.83-2.87
Er 0.6773 0.0621 0.8258  2 Pt 2.83-2.87
Er 0.6773 0.4379 0.8258  2 Pt 2.83-2.87
Er 0.8227 0.5621 0.3258  2 Pt 2.83-2.87
Er 0.8227 0.9379 0.3258  2 Pt 2.83-2.87
Pt 0.1144 0.7500 0.4331  4 Er 2.83-2.87, 2 Pm 2.90-3.00
Pt 0.3856 0.2500 0.9331  4 Er 2.83-2.87, 2 Pm 2.90-3.00
Pt 0.6144 0.7500 0.0669  4 Er 2.83-2.87, 2 Pm 2.90-3.00
Pt 0.8856 0.2500 0.5669  4 Er 2.83-2.87, 2 Pm 2.90-3.00

Properties
Uncorrected energy   -5.69 eV per atom
SG   No. 62
Energy above the lowest structure with this stoichiometry   0 meV/atom

Crystalline Pm2ErPt2 at its relaxed geometry, computed with PBE.

abc: 7.7948 7.7948 4.0993
angles: 90.00 90.00 90.00
Closest atoms and distances in Å follow each position.
Sites, in units of the cell vectors:
Pm 0.1630 0.3370 0.0000  6 Pt 2.99-3.13
Pm 0.3370 0.8370 0.0000  6 Pt 2.99-3.13
Pm 0.6630 0.1630 0.0000  6 Pt 2.99-3.13
Pm 0.8370 0.6630 0.0000  6 Pt 2.99-3.13
Er 0.0000 0.0000 0.5000  4 Pt 3.01
Er 0.5000 0.5000 0.5000  4 Pt 3.01
Pt 0.1394 0.6394 0.5000  6 Pm 2.99-3.13, 2 Er 3.01, 1 Pt 3.07
Pt 0.3606 0.1394 0.5000  6 Pm 2.99-3.13, 2 Er 3.01, 1 Pt 3.07
Pt 0.6394 0.8606 0.5000  6 Pm 2.99-3.13, 2 Er 3.01, 1 Pt 3.07
Pt 0.8606 0.3606 0.5000  6 Pm 2.99-3.13, 2 Er 3.01, 1 Pt 3.07

Properties
Uncorrected energy   -6.23 eV per atom
SG   No. 127
Energy above the lowest structure with this stoichiometry   0 meV/atom

Crystalline PmErPt2 at its relaxed geometry, computed with PBE.

abc: 3.8122 4.5023 5.6587
angles: 90.00 109.77 90.00
Closest atoms and distances in Å follow each position.
Sites, in units of the cell vectors:
Pm 0.0000 0.0000 0.0000  7 Pt 2.90-3.09
Er 0.2754 0.5000 0.5505  7 Pt 2.95-3.05
Pt 0.5521 0.5000 0.1039  2 Pt 2.93, 3 Er 2.95-3.05, 4 Pm 3.00
Pt 0.7276 0.0000 0.4552  3 Pm 2.90-3.09, 2 Pt 2.93, 4 Er 2.99

Properties
Uncorrected energy   -6.58 eV per atom
SG   No. 6
Energy above the lowest structure with this stoichiometry   0 meV/atom

Total moment values (in μB/cell) by entry order: 0.0, 0.0, 0.0, 0.0.